! La4Pr3Dy4, relaxed, DFT PBE-GGA; values from VASP
&SYSTEM
  ibrav = 0, nat = 11, ntyp = 3
/
ATOMIC_SPECIES
La 138.91 La.upf
Pr 140.91 Pr.upf
Dy 162.50 Dy.upf
ATOMIC_POSITIONS angstrom
La -3.120 7.547 3.656
La -6.360 11.011 8.328
La -9.143 9.585 7.455
La -5.903 6.121 2.783
Pr -1.787 3.921 -0.709
Pr -10.476 13.211 11.820
Pr -5.825 7.233 6.756
Dy -9.342 13.003 8.541
Dy -2.922 4.129 2.570
Dy -8.733 7.233 4.740
Dy -3.531 9.899 6.371
CELL_PARAMETERS angstrom
-0.613 2.666 -2.402
-9.928 5.131 5.470
-1.723 9.336 8.042
! calculated total energy: -51.08 eV for the cell shown
! density of states at the Fermi level: 1.316 states/eV/atom
! formation energy: 132 kJ/mol of formula units
! space group: No. 71

***

! DyReSb, relaxed, DFT PBE-GGA; values from VASP
&SYSTEM
  ibrav = 0, nat = 6, ntyp = 3
/
ATOMIC_SPECIES
Re 186.21 Re.upf
Sb 121.76 Sb.upf
Dy 162.50 Dy.upf
ATOMIC_POSITIONS angstrom
Re 0.000 0.000 0.000
Re 1.774 1.774 0.000
Sb 0.000 1.774 8.026
Sb 1.774 0.000 4.650
Dy 0.000 1.774 2.583
Dy 1.774 0.000 10.094
CELL_PARAMETERS angstrom
3.548 0.000 0.000
0.000 3.548 0.000
0.000 0.000 12.677
! raw formation energy: -0.016 eV per atom
! calculated total energy: -42.44 eV for the cell shown
! density of states at the Fermi level: 0.301 states/eV/atom
! space group: No. 129

***

! Sr2SnBiPt, relaxed, DFT PBE-GGA; values from VASP
&SYSTEM
  ibrav = 0, nat = 5, ntyp = 4
/
ATOMIC_SPECIES
Sr 87.62 Sr.upf
Bi 208.98 Bi.upf
Pt 195.08 Pt.upf
Sn 118.71 Sn.upf
ATOMIC_POSITIONS angstrom
Sr 1.695 -2.049 1.230
Sr -2.199 -1.928 -0.181
Bi -1.311 -3.270 3.338
Pt 0.000 0.000 0.000
Sn -0.807 0.706 2.288
CELL_PARAMETERS angstrom
-4.397 -3.855 -0.362
3.389 -4.097 2.461
-1.615 1.413 4.577
! calculated total energy: -20.59 eV for the cell shown
! density of states at the Fermi level: 0.472 states/eV/atom
! formation energy: -319 kJ/mol of formula units
! space group: No. 123

***

! KAs, relaxed, DFT PBE-GGA; values from VASP
&SYSTEM
  ibrav = 0, nat = 4, ntyp = 2
/
ATOMIC_SPECIES
As 74.92 As.upf
K 39.10 K.upf
ATOMIC_POSITIONS angstrom
As 0.932 0.932 0.421
As 2.795 2.795 9.536
K 0.932 0.932 7.159
K 2.795 2.795 2.798
CELL_PARAMETERS angstrom
3.726 0.000 0.000
0.000 3.726 0.000
0.000 0.000 9.957
! calculated total energy: -12.14 eV for the cell shown
! density of states at the Fermi level: 0.647 states/eV/atom
! formation energy: -31 kJ/mol of formula units
! space group: No. 129

***

! YMoPt2Rh, relaxed, DFT PBE-GGA; values from VASP
&SYSTEM
  ibrav = 0, nat = 5, ntyp = 4
/
ATOMIC_SPECIES
Y 88.91 Y.upf
Mo 95.94 Mo.upf
Rh 102.91 Rh.upf
Pt 195.08 Pt.upf
ATOMIC_POSITIONS angstrom
Y 2.484 2.249 2.484
Mo 0.000 2.249 0.000
Rh 0.000 0.000 0.000
Pt 0.000 0.000 2.484
Pt 2.484 0.000 0.000
CELL_PARAMETERS angstrom
4.967 0.000 0.000
0.000 4.499 0.000
0.000 0.000 4.967
! calculated total energy: -34.17 eV for the cell shown
! density of states at the Fermi level: 1.223 states/eV/atom
! formation energy: 247 kJ/mol of formula units
! space group: No. 123

***

! Er5Cd, relaxed, DFT PBE-GGA; values from VASP
&SYSTEM
  ibrav = 0, nat = 6, ntyp = 2
/
ATOMIC_SPECIES
Er 167.26 Er.upf
Cd 112.41 Cd.upf
ATOMIC_POSITIONS angstrom
Er 3.571 7.706 3.317
Er 2.256 10.628 4.740
Er 0.000 0.000 0.000
Er -1.317 2.919 1.421
Er 1.935 4.175 1.797
Cd 0.469 6.774 3.081
CELL_PARAMETERS angstrom
-2.423 1.869 -1.733
-2.144 -0.203 2.780
5.507 11.881 5.114
! calculated total energy: -24.26 eV for the cell shown
! density of states at the Fermi level: 1.421 states/eV/atom
! formation energy: -51 kJ/mol of formula units
! space group: No. 123

***

! ScOsBr, relaxed, DFT PBE-GGA; values from VASP
&SYSTEM
  ibrav = 0, nat = 3, ntyp = 3
/
ATOMIC_SPECIES
Br 79.90 Br.upf
Os 190.23 Os.upf
Sc 44.96 Sc.upf
ATOMIC_POSITIONS angstrom
Br -4.430 -3.070 -0.202
Os -6.645 -4.604 -0.302
Sc 0.000 0.000 0.000
CELL_PARAMETERS angstrom
-4.261 -0.239 1.084
-2.841 -2.041 -2.674
-1.757 -3.859 1.187
! raw formation energy: 0.450 eV per atom
! calculated total energy: -17.88 eV for the cell shown
! density of states at the Fermi level: 0.453 states/eV/atom
! space group: No. 216

***

! Tb6PmEr2, relaxed, DFT PBE-GGA; values from VASP
&SYSTEM
  ibrav = 0, nat = 9, ntyp = 3
/
ATOMIC_SPECIES
Tb 158.93 Tb.upf
Pm 145.00 Pm.upf
Er 167.26 Er.upf
ATOMIC_POSITIONS angstrom
Tb -4.426 1.869 1.509
Tb -4.517 -6.029 2.566
Tb -5.953 -2.769 2.719
Tb -2.819 -3.403 4.290
Tb -6.124 -0.757 -0.215
Tb -2.990 -1.392 1.355
Pm 0.000 0.000 0.000
Er -4.565 3.862 -1.405
Er -4.378 -8.023 5.479
CELL_PARAMETERS angstrom
-1.292 1.229 3.083
-4.724 5.887 -4.337
-2.927 -11.276 5.329
! calculated total energy: -41.51 eV for the cell shown
! density of states at the Fermi level: 1.388 states/eV/atom
! formation energy: 14 kJ/mol of formula units
! space group: No. 2

***

! Ti3FeSi, relaxed, DFT PBE-GGA; values from VASP
&SYSTEM
  ibrav = 0, nat = 5, ntyp = 3
/
ATOMIC_SPECIES
Si 28.09 Si.upf
Fe 55.84 Fe.upf
Ti 47.87 Ti.upf
ATOMIC_POSITIONS angstrom
Si 0.000 0.000 0.000
Fe 2.270 2.270 2.270
Ti 0.000 2.270 0.000
Ti 0.000 0.000 2.270
Ti 2.270 0.000 0.000
CELL_PARAMETERS angstrom
4.539 0.000 0.000
0.000 4.539 0.000
0.000 0.000 4.539
! raw formation energy: 0.764 eV per atom
! calculated total energy: -33.75 eV for the cell shown
! density of states at the Fermi level: 1.722 states/eV/atom
! space group: No. 221

***

! CuSi4Ni, relaxed, DFT PBE-GGA; values from VASP
&SYSTEM
  ibrav = 0, nat = 6, ntyp = 3
/
ATOMIC_SPECIES
Cu 63.55 Cu.upf
Si 28.09 Si.upf
Ni 58.69 Ni.upf
ATOMIC_POSITIONS angstrom
Cu 5.224 5.224 5.224
Si 2.611 4.354 4.354
Si 4.354 4.354 2.611
Si 4.354 2.611 4.354
Si 2.611 2.611 2.611
Ni 0.000 0.000 0.000
CELL_PARAMETERS angstrom
0.000 3.483 3.483
3.483 0.000 3.483
3.483 3.483 0.000
! raw formation energy: 0.505 eV per atom
! calculated total energy: -28.54 eV for the cell shown
! density of states at the Fermi level: 0.972 states/eV/atom
! space group: No. 216

***

! Pu2NiPt, relaxed, DFT PBE-GGA; values from VASP
&SYSTEM
  ibrav = 0, nat = 4, ntyp = 3
/
ATOMIC_SPECIES
Ni 58.69 Ni.upf
Pt 195.08 Pt.upf
Pu 244.00 Pu.upf
ATOMIC_POSITIONS angstrom
Ni 1.847 1.847 0.000
Pt 1.847 1.847 2.930
Pu 0.000 0.000 4.428
Pu 0.000 0.000 1.432
CELL_PARAMETERS angstrom
3.694 0.000 0.000
0.000 3.694 0.000
0.000 0.000 5.859
! calculated total energy: -41.97 eV for the cell shown
! density of states at the Fermi level: 3.688 states/eV/atom
! formation energy: -143 kJ/mol of formula units
! space group: No. 123

***

! Tb2BiIr, relaxed, DFT PBE-GGA; values from VASP
&SYSTEM
  ibrav = 0, nat = 8, ntyp = 3
/
ATOMIC_SPECIES
Tb 158.93 Tb.upf
Bi 208.98 Bi.upf
Ir 192.22 Ir.upf
ATOMIC_POSITIONS angstrom
Tb 3.218 0.487 3.508
Tb 1.073 3.257 4.089
Tb 3.218 1.855 6.859
Tb 1.073 1.888 0.738
Bi 3.218 -1.348 6.219
Bi 1.073 5.092 1.378
Ir 3.218 3.110 2.137
Ir 1.073 0.633 5.460
CELL_PARAMETERS angstrom
4.291 0.000 0.000
0.000 6.283 -0.283
0.000 -2.539 7.880
! calculated total energy: -50.47 eV for the cell shown
! density of states at the Fermi level: 0.244 states/eV/atom
! formation energy: -312 kJ/mol of formula units
! space group: No. 11

***

Q: Which formula does entry 11 have?
A: Pu2NiPt

***

Q: What is the density of states at the Fermi level in the first record?
A: 1.316 states/eV/atom